A plane-wave DFT calculation with GGA-PBE was carried out for an optimized crystal structure of HfSc2Hg.

Calculated values
final energy = -5.95 eV/atom
E_form = -4.99 kcal/mol of atoms

Geometry as CIF:
```
data_HfSc2Hg
_symmetry_space_group_name_H-M 'P 4/m m m'
_symmetry_Int_Tables_number 123
_symmetry_space_group_name_Hall '-P 4 2'
_cell_length_a 3.266
_cell_length_b 3.266
_cell_length_c 8.405
_cell_angle_alpha 90.00
_cell_angle_beta 90.00
_cell_angle_gamma 90.00
loop_
_atom_site_label
_atom_site_fract_x
_atom_site_fract_y
_atom_site_fract_z
_atom_site_occupancy
Hf1 0.000 0.000 0.000 1
Sc1 0.500 0.500 0.257 1
Hg1 0.000 0.000 0.500 1
```